Entry 1:
A relaxed ScZnIr crystal. Source: Alexandria via LeMat-Bulk, functional PBE.

```
ScZnIr
1.0
4.375 0.000 0.000
-2.188 3.789 0.000
0.000 0.000 3.044
Sc Ir Zn
1 1 1
direct
0.333 0.667 0.333
0.000 0.000 0.833
0.667 0.333 0.833
```

Crystal system ... hexagonal
SG ... P-6m2 (187)

Entry 2:
A relaxed ScZnIr2 crystal. Source: Alexandria via LeMat-Bulk, functional PBE.

```
ScZnIr2
1.0
5.341 0.019 0.028
2.662 4.631 -0.028
-3.597 -3.021 2.543
Ir Sc Zn
2 1 1
direct
0.758 0.258 0.500
0.003 0.003 0.000
0.504 0.504 0.000
0.235 0.735 0.500
```

Crystal system ... orthorhombic
SG ... Imm2 (44)

Entry 3:
A relaxed ScZn2Ir2 crystal. Source: Alexandria via LeMat-Bulk, functional PBE.

```
ScZn2Ir2
1.0
-7.044 -1.336 0.243
1.144 -5.145 4.867
-0.306 2.017 2.204
Ir Zn Sc
4 4 2
direct
0.322 0.178 0.500
0.822 0.322 0.500
0.178 0.678 0.500
0.678 0.822 0.500
0.621 0.121 0.000
0.379 0.879 0.000
0.121 0.379 0.000
0.879 0.621 0.000
0.000 0.000 0.000
0.500 0.500 0.000
```

Crystal system ... tetragonal
Energy above the most stable polymorph in this dataset ... 0.000 eV/atom
SG ... P4/mbm (127)

Entry 4:
A relaxed ScZnIr2 crystal. Source: Alexandria via LeMat-Bulk, functional PBE.

```
ScZnIr2
1.0
3.298 0.000 0.000
0.000 3.298 0.000
0.000 0.000 5.855
Zn Sc Ir
1 1 2
direct
0.500 0.500 0.775
0.000 0.000 0.494
0.000 0.000 0.965
0.500 0.500 0.266
```

Crystal system ... tetragonal
SG ... P4mm (99)

Entry 5:
A relaxed ScZn3Ir crystal. Source: Alexandria via LeMat-Bulk, functional PBE.

```
ScZn3Ir
1.0
-3.045 -0.314 3.786
3.780 -0.734 2.979
0.379 4.803 0.703
Sc Zn Ir
1 3 1
direct
0.000 0.000 0.000
0.500 0.000 0.000
0.000 0.500 0.000
0.000 0.000 0.500
0.500 0.500 0.500
```

Crystal system ... cubic
Energy above the most stable polymorph in this dataset ... 1.434 eV/atom
SG ... Pm-3m (221)

Entry 6:
A relaxed ScZnIr3 crystal. Source: Alexandria via LeMat-Bulk, functional PBE.

```
ScZnIr3
1.0
4.682 0.000 0.000
0.000 4.682 0.000
0.000 0.000 4.682
Sc Ir Zn
1 3 1
direct
0.000 0.000 0.000
0.000 0.000 0.500
0.500 0.000 0.000
0.000 0.500 0.000
0.500 0.500 0.500
```

Crystal system ... cubic
Energy above the most stable polymorph in this dataset ... 0.756 eV/atom
SG ... Pm-3m (221)

Q: Which formation energy from the elements values were calculated for the entries above? A: -0.5874, -0.4459, -0.4532, -0.2726, 1.5503, 1.4391, in eV per atom.
Q: Which uncorrected energy values were calculated for the entries above? A: -18.23, -27.11, -28.87, -26.42, -11.26, -26.99, in eV per formula unit.